# 1
Compound: Pm6Er5Th
Source: the Alexandria database
Functional: GGA-PBE
Structure: optimized geometry

Values from the calculation:
- E: -4.865 eV/atom
- Energy relative to the elements: 30 meV/atom
- Crystal system: orthorhombic

Cell lengths 5.0895, 10.1200, 9.4800 Å; angles 122.26, 105.57, 90.00 degrees
Sites, in units of the cell vectors:
1 Pm 0.5000 0.2484 0.0000
2 Pm 0.8353 0.0856 0.6706
3 Pm 0.8353 0.5850 0.6706
4 Pm 0.5000 0.7516 0.0000
5 Pm 0.1647 0.4150 0.3294
6 Pm 0.1647 0.9144 0.3294
7 Er 0.3356 0.8356 0.6712
8 Er 0.0000 0.5000 0.0000
9 Er 0.6644 0.1644 0.3288
10 Er 0.3321 0.3321 0.6641
11 Er 0.6679 0.6679 0.3359
12 Th 0.0000 0.0000 0.0000

# 2
Compound: Pm2ErTh
Source: the Alexandria database
Functional: GGA-PBE
Structure: optimized geometry

Values from the calculation:
- E: -5.196 eV/atom
- Energy relative to the elements: 175 meV/atom
- Energy relative to the lowest polymorph listed for this composition: 0.60 eV/f.u.
- Crystal system: trigonal

Cell lengths 3.5446, 3.5446, 12.5608 Å; angles 81.89, 81.89, 60.00 degrees
Sites, in units of the cell vectors:
1 Th 0.5000 0.5000 0.5000
2 Pm 0.0903 0.0903 0.7292
3 Pm 0.9097 0.9097 0.2708
4 Er 0.0000 0.0000 0.0000

# 3
Compound: Pm5Er6Th
Source: the Alexandria database
Functional: GGA-PBE
Structure: optimized geometry

Values from the calculation:
- E: -4.856 eV/atom
- Energy relative to the elements: 24 meV/atom
- Crystal system: orthorhombic

Cell lengths 5.0879, 9.9703, 9.4611 Å; angles 121.80, 105.60, 90.00 degrees
Sites, in units of the cell vectors:
1 Er 0.1652 0.4128 0.3305
2 Er 0.5000 0.2452 0.0000
3 Er 0.5000 0.7548 0.0000
4 Er 0.1652 0.9177 0.3305
5 Er 0.8348 0.5872 0.6695
6 Er 0.8348 0.0823 0.6695
7 Pm 0.6651 0.1651 0.3303
8 Pm 0.3345 0.3345 0.6691
9 Pm 0.3349 0.8349 0.6697
10 Pm 0.0000 0.5000 0.0000
11 Pm 0.6655 0.6655 0.3309
12 Th 0.0000 0.0000 0.0000

# 4
Compound: PmEr9Th2
Source: the Alexandria database
Functional: GGA-PBE
Structure: optimized geometry

Values from the calculation:
- E: -5.024 eV/atom
- Energy relative to the elements: 31 meV/atom
- Energy relative to the lowest polymorph listed for this composition: 0.00 eV/f.u.
- Crystal system: tetragonal

Cell lengths 4.9905, 4.9905, 14.9964 Å; angles 90.00, 90.00, 90.00 degrees
Sites, in units of the cell vectors:
1 Er 0.0000 0.5000 0.8306
2 Er 0.5000 0.0000 0.1694
3 Er 0.5000 0.0000 0.8306
4 Er 0.5000 0.5000 0.3336
5 Er 0.5000 0.0000 0.5000
6 Er 0.0000 0.5000 0.5000
7 Er 0.5000 0.5000 0.6664
8 Er 0.0000 0.5000 0.1694
9 Er 0.5000 0.5000 0.0000
10 Th 0.0000 0.0000 0.3343
11 Th 0.0000 0.0000 0.6657
12 Pm 0.0000 0.0000 0.0000

# 5
Compound: PmEr5Th
Source: the Alexandria database
Functional: GGA-PBE
Structure: optimized geometry

Values from the calculation:
- E: -4.808 eV/atom
- Energy relative to the elements: 190 meV/atom
- Crystal system: monoclinic

Cell lengths 6.1178, 9.2688, 8.6107 Å; angles 85.93, 77.57, 70.73 degrees
Sites, in units of the cell vectors:
1 Er 0.3902 0.6257 0.8541
2 Er 0.8517 0.2966 0.7500
3 Er 0.6098 0.3743 0.1459
4 Er 0.2238 0.3161 0.9600
5 Er 0.0159 0.3743 0.3541
6 Er 0.7762 0.6839 0.0400
7 Er 0.4601 0.3161 0.5400
8 Er 0.9841 0.6257 0.6459
9 Er 0.1483 0.7034 0.2500
10 Er 0.5399 0.6839 0.4600
11 Pm 0.4874 0.0252 0.2500
12 Pm 0.5126 0.9748 0.7500
13 Th 0.0000 0.0000 0.5000
14 Th 0.0000 0.0000 0.0000

# 6
Compound: Pm2Er6Th
Source: the Alexandria database
Functional: GGA-PBE
Structure: optimized geometry

Values from the calculation:
- E: -4.801 eV/atom
- Energy relative to the elements: 121 meV/atom
- Energy relative to the lowest polymorph listed for this composition: 0.50 eV/f.u.
- Crystal system: monoclinic

Cell lengths 6.2254, 11.7149, 11.7149 Å; angles 96.70, 60.58, 60.58 degrees
Sites, in units of the cell vectors:
1 Er 0.9647 0.9067 0.4066
2 Er 0.8319 0.5036 0.6664
3 Er 0.1681 0.4964 0.3336
4 Er 0.0353 0.0933 0.5934
5 Er 0.8316 0.1664 0.0038
6 Er 0.6684 0.9962 0.8336
7 Er 0.4647 0.4066 0.9067
8 Er 0.3316 0.0038 0.1664
9 Er 0.6681 0.3336 0.4964
10 Er 0.5353 0.5934 0.0933
11 Er 0.3319 0.6664 0.5036
12 Er 0.1684 0.8336 0.9962
13 Th 0.7500 0.7501 0.2499
14 Th 0.2500 0.2499 0.7501
15 Pm 0.0003 0.6523 0.8476
16 Pm 0.9997 0.3477 0.1524
17 Pm 0.4997 0.1524 0.3477
18 Pm 0.5003 0.8476 0.6523

# 7
Compound: Pm2Er7Th
Source: the Alexandria database
Functional: GGA-PBE
Structure: optimized geometry

Values from the calculation:
- E: -4.182 eV/atom
- Energy relative to the elements: 704 meV/atom
- Crystal system: orthorhombic

Cell lengths 4.8909, 10.0147, 10.0148 Å; angles 129.86, 90.00, 90.00 degrees
Sites, in units of the cell vectors:
1 Er 0.5000 0.7160 0.9190
2 Er 0.5000 0.9190 0.7160
3 Er 0.0000 0.8107 0.1893
4 Er 0.5000 0.2840 0.0810
5 Er 0.5000 0.5000 0.5000
6 Er 0.0000 0.1893 0.8107
7 Er 0.5000 0.0810 0.2840
8 Pm 0.5000 0.7003 0.2997
9 Pm 0.5000 0.2997 0.7003
10 Th 0.0000 0.0000 0.0000

# 8
Compound: Pm2ErTh
Source: the Alexandria database
Functional: GGA-PBE
Structure: optimized geometry

Values from the calculation:
- E: -5.324 eV/atom
- Energy relative to the elements: 47 meV/atom
- Energy relative to the lowest polymorph listed for this composition: 0.09 eV/f.u.
- Crystal system: tetragonal

Cell lengths 5.0984, 5.0708, 5.0708 Å; angles 90.00, 90.00, 90.00 degrees
Sites, in units of the cell vectors:
1 Pm 0.0000 0.5000 0.0000
2 Pm 0.0000 0.0000 0.5000
3 Er 0.5000 0.0000 0.0000
4 Th 0.5000 0.5000 0.5000

# 9
Compound: Pm6ErTh2
Source: the Alexandria database
Functional: GGA-PBE
Structure: optimized geometry

Values from the calculation:
- E: -5.253 eV/atom
- Energy relative to the elements: 70 meV/atom
- Crystal system: hexagonal

Cell lengths 3.6059, 3.6059, 26.9317 Å; angles 90.00, 90.00, 120.00 degrees
Sites, in units of the cell vectors:
1 Pm 0.6667 0.3333 0.1065
2 Pm 0.3333 0.6667 0.2195
3 Pm 0.3333 0.6667 0.7805
4 Pm 0.6667 0.3333 0.8935
5 Pm 0.3333 0.6667 0.5634
6 Pm 0.3333 0.6667 0.4366
7 Er 0.3333 0.6667 0.0000
8 Th 0.6667 0.3333 0.3292
9 Th 0.6667 0.3333 0.6708

# 10
Compound: Pm4Er15Th
Source: the Alexandria database
Functional: GGA-PBE
Structure: optimized geometry

Values from the calculation:
- E: -4.719 eV/atom
- Energy relative to the elements: 24 meV/atom
- Crystal system: tetragonal

Cell lengths 5.0142, 5.0142, 24.9404 Å; angles 90.00, 90.00, 90.00 degrees
Sites, in units of the cell vectors:
1 Er 0.5000 0.0000 0.7007
2 Er 0.5000 0.5000 0.8003
3 Er 0.5000 0.0000 0.5000
4 Er 0.5000 0.5000 0.1997
5 Er 0.5000 0.0000 0.2993
6 Er 0.5000 0.0000 0.9018
7 Er 0.5000 0.5000 0.6004
8 Er 0.0000 0.5000 0.5000
9 Er 0.5000 0.5000 0.0000
10 Er 0.0000 0.5000 0.9018
11 Er 0.0000 0.5000 0.2993
12 Er 0.5000 0.5000 0.3996
13 Er 0.5000 0.0000 0.0982
14 Er 0.0000 0.5000 0.0982
15 Er 0.0000 0.5000 0.7007
16 Pm 0.0000 0.0000 0.3998
17 Pm 0.0000 0.0000 0.1990
18 Pm 0.0000 0.0000 0.6002
19 Pm 0.0000 0.0000 0.8010
20 Th 0.0000 0.0000 0.0000

# 11
Compound: Pm2Er2Th
Source: the Alexandria database
Functional: GGA-PBE
Structure: optimized geometry

Values from the calculation:
- E: -5.196 eV/atom
- Energy relative to the elements: 13 meV/atom
- Energy relative to the lowest polymorph listed for this composition: 0.00 eV/f.u.
- Crystal system: trigonal

Cell lengths 3.5890, 3.5890, 14.6275 Å; angles 82.95, 82.95, 60.00 degrees
Sites, in units of the cell vectors:
1 Pm 0.2008 0.2008 0.3977
2 Pm 0.7992 0.7992 0.6023
3 Th 0.0000 0.0000 0.0000
4 Er 0.6024 0.6024 0.1929
5 Er 0.3976 0.3976 0.8071

# 12
Compound: Pm6Er12Th
Source: the Alexandria database
Functional: GGA-PBE
Structure: optimized geometry

Values from the calculation:
- E: -4.548 eV/atom
- Energy relative to the elements: 224 meV/atom
- Crystal system: trigonal

Cell lengths 8.6913, 8.6913, 8.6913 Å; angles 99.33, 99.33, 99.33 degrees
Sites, in units of the cell vectors:
1 Er 0.3492 0.0781 0.3492
2 Er 0.7558 0.5000 0.2442
3 Er 0.2442 0.7558 0.5000
4 Er 0.5000 0.7558 0.2442
5 Er 0.0781 0.3492 0.3492
6 Er 0.5000 0.2442 0.7558
7 Er 0.3492 0.3492 0.0781
8 Er 0.9219 0.6508 0.6508
9 Er 0.2442 0.5000 0.7558
10 Er 0.7558 0.2442 0.5000
11 Er 0.6508 0.9219 0.6508
12 Er 0.6508 0.6508 0.9219
13 Pm 0.8993 0.8993 0.3425
14 Pm 0.3425 0.8993 0.8993
15 Pm 0.6575 0.1007 0.1007
16 Pm 0.1007 0.1007 0.6575
17 Pm 0.1007 0.6575 0.1007
18 Pm 0.8993 0.3425 0.8993
19 Th 0.0000 0.0000 0.0000